(1)
This record from Alexandria via LeMat-Bulk describes crystalline Ba2FeOs at its relaxed geometry. The functional is PBE.

## Properties
Symmetry: No. 216

Cell: 7.4395 7.4395 7.4395 Å, 90.00 90.00 90.00°
Last column: nearest neighbours and their distance in Å.
Atoms (fractional coordinates):
Ba: 0.0000 0.0000 0.0000  4 Ba 3.22, 4 Fe 3.22
Ba: 0.0000 0.5000 0.5000  4 Ba 3.22, 4 Fe 3.22
Ba: 0.2500 0.2500 0.2500  4 Ba 3.22, 4 Os 3.22
Ba: 0.2500 0.7500 0.7500  4 Ba 3.22, 4 Os 3.22
Ba: 0.5000 0.0000 0.5000  4 Ba 3.22, 4 Fe 3.22
Ba: 0.5000 0.5000 0.0000  4 Ba 3.22, 4 Fe 3.22
Ba: 0.7500 0.2500 0.7500  4 Ba 3.22, 4 Os 3.22
Ba: 0.7500 0.7500 0.2500  4 Ba 3.22, 4 Os 3.22
Fe: 0.2500 0.2500 0.7500  4 Ba 3.22, 4 Os 3.22
Fe: 0.2500 0.7500 0.2500  4 Ba 3.22, 4 Os 3.22
Fe: 0.7500 0.2500 0.2500  4 Ba 3.22, 4 Os 3.22
Fe: 0.7500 0.7500 0.7500  4 Ba 3.22, 4 Os 3.22
Os: 0.0000 0.0000 0.5000  4 Ba 3.22, 4 Fe 3.22
Os: 0.0000 0.5000 0.0000  4 Ba 3.22, 4 Fe 3.22
Os: 0.5000 0.0000 0.0000  4 Ba 3.22, 4 Fe 3.22
Os: 0.5000 0.5000 0.5000  4 Ba 3.22, 4 Fe 3.22

=====

(2)
This record from Alexandria via LeMat-Bulk describes crystalline Ba2FeOs at its relaxed geometry. The functional is PBE.

## Properties
Symmetry: No. 225

Cell: 7.6744 7.6744 7.6744 Å, 90.00 90.00 90.00°
Last column: nearest neighbours and their distance in Å.
Atoms (fractional coordinates):
Ba: 0.2500 0.2500 0.2500  4 Fe 3.32, 4 Os 3.32
Ba: 0.2500 0.2500 0.7500  4 Fe 3.32, 4 Os 3.32
Ba: 0.2500 0.7500 0.2500  4 Fe 3.32, 4 Os 3.32
Ba: 0.2500 0.7500 0.7500  4 Fe 3.32, 4 Os 3.32
Ba: 0.7500 0.2500 0.2500  4 Fe 3.32, 4 Os 3.32
Ba: 0.7500 0.2500 0.7500  4 Fe 3.32, 4 Os 3.32
Ba: 0.7500 0.7500 0.2500  4 Fe 3.32, 4 Os 3.32
Ba: 0.7500 0.7500 0.7500  4 Os 3.32, 4 Fe 3.32
Fe: 0.0000 0.0000 0.0000  8 Ba 3.32
Fe: 0.0000 0.5000 0.5000  8 Ba 3.32
Fe: 0.5000 0.0000 0.5000  8 Ba 3.32
Fe: 0.5000 0.5000 0.0000  8 Ba 3.32
Os: 0.0000 0.0000 0.5000  8 Ba 3.32
Os: 0.0000 0.5000 0.0000  8 Ba 3.32
Os: 0.5000 0.0000 0.0000  8 Ba 3.32
Os: 0.5000 0.5000 0.5000  8 Ba 3.32

=====

(3)
This record from Alexandria via LeMat-Bulk describes crystalline Ba2FeOs at its relaxed geometry. The functional is PBE.

## Properties
Symmetry: No. 123

Cell: 5.5692 5.5692 3.6423 Å, 90.00 90.00 90.00°
Last column: nearest neighbours and their distance in Å.
Atoms (fractional coordinates):
Ba: 0.0000 0.5000 0.0000  4 Fe 3.33, 4 Os 3.33, 2 Ba 3.64
Ba: 0.5000 0.0000 0.0000  4 Fe 3.33, 4 Os 3.33, 2 Ba 3.64
Fe: 0.0000 0.0000 0.5000  8 Ba 3.33, 2 Fe 3.64
Os: 0.5000 0.5000 0.5000  8 Ba 3.33, 2 Os 3.64

=====

(4)
This record from Alexandria via LeMat-Bulk describes crystalline BaFeP2Os at its relaxed geometry. The functional is PBE.

## Properties
Symmetry: No. 119

Cell: 3.9474 3.9474 12.4302 Å, 90.00 90.00 90.00°
Last column: nearest neighbours and their distance in Å.
Atoms (fractional coordinates):
Ba: 0.0000 0.0000 0.0000  8 P 3.40, 4 Fe 3.68, 4 Os 3.68
Ba: 0.5000 0.5000 0.5000  8 P 3.40, 4 Fe 3.68, 4 Os 3.68
Fe: 0.0000 0.5000 0.7500  4 P 2.29
Fe: 0.5000 0.0000 0.2500  4 P 2.29
P: 0.0000 0.0000 0.3432  2 Fe 2.29, 2 Os 2.29
P: 0.0000 0.0000 0.6568  2 Fe 2.29, 2 Os 2.29
P: 0.5000 0.5000 0.1568  2 Fe 2.29, 2 Os 2.29
P: 0.5000 0.5000 0.8432  2 Fe 2.29, 2 Os 2.29
Os: 0.0000 0.5000 0.2500  4 P 2.29
Os: 0.5000 0.0000 0.7500  4 P 2.29

=====

(5)
This record from Alexandria via LeMat-Bulk describes crystalline Ba2FeOsPd at its relaxed geometry. The functional is PBE.

## Properties
Symmetry: No. 123

Cell: 5.9384 5.9384 4.7229 Å, 90.00 90.00 90.00°
Last column: nearest neighbours and their distance in Å.
Atoms (fractional coordinates):
Ba: 0.0000 0.5000 0.0000  2 Pd 2.97
Ba: 0.5000 0.0000 0.0000  2 Pd 2.97
Fe: 0.0000 0.0000 0.5000  2 Pd 2.36
Os: 0.5000 0.5000 0.5000  8 Ba 3.79, 4 Fe 4.20
Pd: 0.0000 0.0000 0.0000  2 Fe 2.36

=====

(6)
This record from Alexandria via LeMat-Bulk describes crystalline BaZnFe2Os at its relaxed geometry. The functional is PBE.

## Properties
Symmetry: No. 123

Cell: 4.6023 4.6023 5.2250 Å, 90.00 90.00 90.00°
Last column: nearest neighbours and their distance in Å.
Atoms (fractional coordinates):
Ba: 0.0000 0.0000 0.0000  4 Fe 2.30
Zn: 0.0000 0.0000 0.5000  2 Ba 2.61
Fe: 0.0000 0.5000 0.0000  2 Ba 2.30
Fe: 0.5000 0.0000 0.0000  2 Ba 2.30
Os: 0.5000 0.5000 0.5000  4 Zn 3.25, 8 Fe 3.48

=====

(7)
This record from Alexandria via LeMat-Bulk describes crystalline BaFe2P at its relaxed geometry. The functional is PBE.

## Properties
Symmetry: No. 44

Cell: 3.9713 6.1814 7.5524 Å, 90.00 90.00 90.00°
Last column: nearest neighbours and their distance in Å.
Atoms (fractional coordinates):
Ba: 0.0000 0.0000 0.0000  4 P 3.20-3.34, 5 Fe 3.26-3.50
Ba: 0.5000 0.5000 0.5000  4 P 3.20-3.34, 5 Fe 3.26-3.50
Fe: 0.0000 0.0000 0.4640  2 P 2.22, 2 Fe 2.37
Fe: 0.0000 0.5000 0.1353  1 P 2.29, 2 Fe 2.37
Fe: 0.5000 0.0000 0.6353  1 P 2.29, 2 Fe 2.37
Fe: 0.5000 0.5000 0.9640  2 P 2.22, 2 Fe 2.37
P: 0.0000 0.5000 0.8317  3 Fe 2.22-2.29
P: 0.5000 0.0000 0.3317  3 Fe 2.22-2.29

=====

(8)
This record from Alexandria via LeMat-Bulk describes crystalline BaFe2P at its relaxed geometry. The functional is PBE.

## Properties
Symmetry: No. 12

Cell: 6.0211 8.9171 4.2899 Å, 90.00 134.10 90.00°
Last column: nearest neighbours and their distance in Å.
Atoms (fractional coordinates):
Ba: 0.0000 0.0000 0.0000  4 Fe 2.71, 2 P 3.01
Ba: 0.5000 0.5000 0.0000  4 Fe 2.71, 2 P 3.01
Fe: 0.2500 0.2500 0.5000  2 Ba 2.71, 2 P 2.71, 2 Fe 3.01
Fe: 0.2500 0.7500 0.5000  2 Ba 2.71, 2 P 2.71, 2 Fe 3.01
Fe: 0.7500 0.2500 0.5000  2 Ba 2.71, 2 P 2.71, 2 Fe 3.01
Fe: 0.7500 0.7500 0.5000  2 Ba 2.71, 2 P 2.71, 2 Fe 3.01
P: 0.0000 0.5000 0.0000  4 Fe 2.71, 2 Ba 3.01
P: 0.5000 0.0000 0.0000  4 Fe 2.71, 2 Ba 3.01

=====

(9)
This record from Alexandria via LeMat-Bulk describes crystalline Ba2FeP at its relaxed geometry. The functional is PBE.

## Properties
Symmetry: No. 47

Cell: 4.1626 5.3606 5.4909 Å, 90.00 90.00 90.00°
Last column: nearest neighbours and their distance in Å.
Atoms (fractional coordinates):
Ba: 0.0000 0.0000 0.0000  4 P 3.39, 4 Fe 3.45
Ba: 0.0000 0.5000 0.5000  4 Fe 3.39, 4 P 3.45
Fe: 0.5000 0.0000 0.5000  8 Ba 3.39-3.45
P: 0.5000 0.5000 0.0000  8 Ba 3.39-3.45

=====

(10)
This record from Alexandria via LeMat-Bulk describes crystalline Ba2FeP at its relaxed geometry. The functional is PBE.

## Properties
Symmetry: No. 12

Cell: 8.0307 4.6661 8.6471 Å, 90.00 107.89 90.00°
Last column: nearest neighbours and their distance in Å.
Atoms (fractional coordinates):
Ba: 0.2356 0.0000 0.2084  3 P 3.18-3.19
Ba: 0.2644 0.5000 0.7916  3 P 3.18-3.19
Ba: 0.7356 0.5000 0.2084  3 P 3.18-3.19
Ba: 0.7644 0.0000 0.7916  3 P 3.18-3.19
Fe: 0.0000 0.0000 0.5000  6 Ba 3.59-3.61
Fe: 0.5000 0.5000 0.5000  6 Ba 3.59-3.61
P: 0.0000 0.5000 0.0000  6 Ba 3.18-3.19
P: 0.5000 0.0000 0.0000  6 Ba 3.18-3.19

=====

(11)
This record from Alexandria via LeMat-Bulk describes crystalline Ba4FeP at its relaxed geometry. The functional is PBE.

## Properties
Symmetry: No. 216

Cell: 6.9840 6.9840 6.9840 Å, 60.00 60.00 60.00°
Last column: nearest neighbours and their distance in Å.
Atoms (fractional coordinates):
Ba: 0.3761 0.3761 0.3761  6 Ba 3.46-3.52
Ba: 0.3761 0.3761 0.8718  6 Ba 3.46-3.52
Ba: 0.3761 0.8718 0.3761  6 Ba 3.46-3.52
Ba: 0.8718 0.3761 0.3761  6 Ba 3.46-3.52
Fe: 0.0000 0.0000 0.0000  12 Ba 4.10, 4 P 4.28
P: 0.7500 0.7500 0.7500  12 Ba 4.09, 4 Fe 4.28

=====

(12)
This record from Alexandria via LeMat-Bulk describes crystalline BaFe2P at its relaxed geometry. The functional is PBE.

## Properties
Symmetry: No. 10

Cell: 4.4661 3.6728 5.3715 Å, 90.00 95.90 90.00°
Last column: nearest neighbours and their distance in Å.
Atoms (fractional coordinates):
Ba: 0.0000 0.0000 0.0000  8 Fe 3.30-3.54, 4 P 3.31-3.67, 2 Ba 3.67
Fe: 0.2379 0.5000 0.5485  1 Fe 2.13, 2 P 2.21
Fe: 0.7621 0.5000 0.4515  1 Fe 2.13, 2 P 2.21
P: 0.5000 0.0000 0.5000  4 Fe 2.21

=====

no.,energy of formation (eV/atom),raw total energy (Ha/atom)
1,1.129,-0.17475
2,1.131,-0.17469
3,1.158,-0.17369
4,-0.733,-0.26534
5,1.119,-0.17005
6,2.992,-0.12049
7,0.224,-0.21465
8,0.781,-0.19416
9,0.083,-0.15974
10,0.079,-0.15987
11,0.885,-0.09955
12,0.075,-0.22010